(1)
VASP calculation (PBE-GGA) on a relaxed CaGdSb crystal.

Raw formation energy: -180.1 kJ/mol of formula units
Crystal system: tetragonal
Volume: 29.63 A^3/atom
Spin magnetization: 8.94 μB per formula unit
Total energy: -7.3571 eV per atom

Cell: 4.068 4.068 6.093 Å, 109.50 109.50 90.00°
Element x y z (fractional)
Gd (0.265, 0.265, 0.530)
Sb (0.622, 0.622, 0.244)
Ca (0.963, 0.963, 0.925)

(2)
VASP calculation (PBE-GGA) on a relaxed CaGdSc2 crystal.

Formation energy from the elements: 0.1575 eV per atom
Crystal system: trigonal
Volume: 29.63 A^3/atom
Spin magnetization: 6.82 μB per formula unit
Total energy: -7.0289 eV per atom

Cell: 3.464 3.464 11.577 Å, 81.40 81.40 60.00°
Element x y z (fractional)
Sc (0.254, 0.254, 0.237)
Sc (0.746, 0.746, 0.763)
Ca (0.500, 0.500, 0.500)
Gd (0.000, 0.000, 0.000)